The following is a PBE calculation of a geometry-optimized La6TmGa2 structure, from Alexandria via LeMat-Bulk.

Output
ΔE_f = -0.25 eV/atom
total moment = 0.00 Bohr magnetons per cell

```
9
Lattice="-2.9939 -2.3385 -0.1915 0.8493 -3.7189 -5.6423 5.1745 -10.0213 3.6992" Properties=species:S:1:pos:R:3 pbc="T T T"
Ga 3.0847 -13.0548 -2.1392
La 3.9976 -11.3417 0.4458
La -0.9676 -4.7370 -2.5805
La 3.6002 -7.7875 1.0333
La 0.1512 -6.3915 0.1304
Ga -0.0547 -3.0239 0.0046
La 2.8787 -9.6872 -2.2651
Tm 0.0000 0.0000 0.0000
La -0.5703 -8.2912 -3.1679
```


The following is a PBE calculation of a geometry-optimized Th2AuC structure, from Alexandria via LeMat-Bulk.

Output
ΔE_f = -0.44 eV/atom
total moment = 0.00 Bohr magnetons per cell
offset from the most stable computed form = 0.000 kcal/mol of atoms

```
4
Lattice="-2.7179 -1.2161 -2.2674 -1.8414 -3.1556 0.8114 -6.6292 2.5443 3.4899" Properties=species:S:1:pos:R:3 pbc="T T T"
C -9.6431 -0.3894 2.4999
Th -5.6564 1.7818 2.7327
Au -5.5958 -0.9136 1.0175
Th -2.5168 -0.6757 0.2908
```


The following is a PBE calculation of a geometry-optimized NdGa4CoNi2 structure, from Alexandria via LeMat-Bulk.

Output
ΔE_f = -0.45 eV/atom
total moment = 0.00 Bohr magnetons per cell

```
8
Lattice="-2.5719 -2.2631 2.2275 1.4503 -2.4635 2.9199 -1.0575 4.9752 7.5821" Properties=species:S:1:pos:R:3 pbc="T T T"
Ga -0.7841 2.3556 5.2362
Ni -0.5881 0.4774 3.5542
Co -1.0896 0.1243 6.3647
Ni -1.5910 -0.2288 9.1753
Ga -0.8970 -1.7210 4.7123
Ga -1.2821 1.9696 8.0172
Ga -1.3950 -2.1070 7.4933
Nd 0.0000 0.0000 0.0000
```


The following is a PBE calculation of a geometry-optimized MgBrCl2 structure, from Alexandria via LeMat-Bulk.

Output
total moment = 1.00 Bohr magnetons per cell
offset from the most stable computed form = 17.209 kcal/mol of atoms

```
4
Lattice="0.0000 3.5557 3.5557 3.5557 0.0000 3.5557 3.5557 3.5557 0.0000" Properties=species:S:1:pos:R:3 pbc="T T T"
Cl 5.3335 5.3335 5.3335
Br 3.5557 3.5557 3.5557
Cl 1.7778 1.7778 1.7778
Mg 0.0000 0.0000 0.0000
```


The following is a PBE calculation of a geometry-optimized La8NiRu3I3 structure, from Alexandria via LeMat-Bulk.

Output
energy = -5.834 eV per atom
total moment = 0.00 Bohr magnetons per cell

```
15
Lattice="8.3809 0.0000 0.0000 -4.1905 7.2710 -0.0300 0.0000 -4.8209 8.3936" Properties=species:S:1:pos:R:3 pbc="T T T"
Ru 4.1905 -2.4105 4.1968
La 2.1128 -1.1950 2.6977
La 2.0776 3.6450 5.6659
La 0.0000 2.4293 2.6190
La 4.1905 2.4128 2.6775
I -2.0952 3.6355 -0.0150
I 2.0952 3.6355 -0.0150
La 6.2681 -1.1950 2.6977
Ni 0.0000 -2.4105 4.1968
Ru -2.0952 1.2250 4.1818
La -2.0776 3.6450 5.6659
I 0.0000 0.0000 0.0000
La 4.1905 0.0208 5.7446
Ru 2.0952 1.2250 4.1818
La 0.0000 0.0373 5.6860
```


The following is a PBE calculation of a geometry-optimized Pr2Zn2Pd5Rh structure, from Alexandria via LeMat-Bulk.

Output
ΔE_f = -0.51 eV/atom
total moment = 0.00 Bohr magnetons per cell

```
20
Lattice="3.9200 0.0000 0.0000 0.0000 9.6524 0.0000 0.0000 0.0000 9.6524" Properties=species:S:1:pos:R:3 pbc="T T T"
Pd 1.9600 9.0455 1.9807
Pr 0.0000 1.7718 3.0544
Zn 0.0000 5.9327 8.5459
Pd 1.9600 0.0000 4.8262
Pr 0.0000 6.5980 1.7718
Pd 1.9600 1.9807 0.6069
Rh 0.0000 0.0000 0.0000
Pd 1.9600 4.8262 0.0000
Zn 0.0000 8.5459 3.7197
Pd 1.9600 7.6717 9.0455
Pd 1.9600 0.6069 7.6717
Pd 1.9600 5.4331 6.8069
Pd 1.9600 4.2193 2.8455
Pd 1.9600 2.8455 5.4331
Zn 0.0000 1.1065 5.9327
Pd 1.9600 6.8069 4.2193
Pr 0.0000 3.0544 7.8806
Rh 0.0000 4.8262 4.8262
Zn 0.0000 3.7197 1.1065
Pr 0.0000 7.8806 6.5980
```


The following is a PBE calculation of a geometry-optimized Ir2AuCl structure, from Alexandria via LeMat-Bulk.

Output
total moment = 0.02 Bohr magnetons per cell
offset from the most stable computed form = 2.890 kcal/mol of atoms

```
4
Lattice="3.7095 -0.0108 0.1116 2.6336 2.6124 0.1116 0.9644 0.3955 7.8314" Properties=species:S:1:pos:R:3 pbc="T T T"
Au 3.7341 1.5315 4.3517
Ir 0.9635 0.3952 7.6923
Ir 5.5227 2.2650 6.3359
Cl 1.7054 0.6994 1.5335
```


The following is a PBE calculation of a geometry-optimized CsLiCoBr4 structure, from Alexandria via LeMat-Bulk.

Output
energy = -3.444 eV per atom
total moment = 6.00 Bohr magnetons per cell

```
14
Lattice="-4.8960 0.7906 -3.9334 4.4152 -1.9456 -5.8868 0.0293 -9.7562 3.2465" Properties=species:S:1:pos:R:3 pbc="T T T"
Br 1.8975 -7.6938 -0.9243
Co 2.4886 -4.1915 -4.1292
Cs -0.5703 -1.4765 -2.4001
Li -0.9769 -5.5328 -6.2851
Br 2.0440 -2.0850 -5.1588
Cs 0.1189 -9.4348 -4.1736
Br -0.2828 -6.7331 1.9827
Li 0.5254 -5.3785 -0.2887
Br 0.9612 -5.9105 -4.7066
Br -1.4127 -5.0007 -1.8671
Br -2.3489 -3.2174 -5.6495
Co -2.9400 -6.7198 -2.4445
Br -0.1686 -4.1782 -8.5565
Br -2.4955 -8.8263 -1.4149
```


The following is a PBE calculation of a geometry-optimized Tm4Co3Rh structure, from Alexandria via LeMat-Bulk.

Output
ΔE_f = -0.40 eV/atom
total moment = 1.07 Bohr magnetons per cell

```
8
Lattice="3.3100 0.0000 0.0000 0.0000 4.6918 0.0000 0.0000 0.0000 9.3655" Properties=species:S:1:pos:R:3 pbc="T T T"
Co 1.6550 0.0000 7.0167
Rh 1.6550 2.3459 0.0000
Tm 0.0000 2.3459 2.3965
Tm 0.0000 0.0000 4.6827
Tm 0.0000 0.0000 0.0000
Co 1.6550 0.0000 2.3488
Co 1.6550 2.3459 4.6827
Tm 0.0000 2.3459 6.9690
```


The following is a PBE calculation of a geometry-optimized Mg3Ga3OsPd2 structure, from Alexandria via LeMat-Bulk.

Output
ΔE_f = -0.42 eV/atom
total moment = 0.00 Bohr magnetons per cell

```
9
Lattice="-0.1194 -0.0781 3.2038 7.2514 -1.0671 0.2441 -2.7076 6.8151 0.0652" Properties=species:S:1:pos:R:3 pbc="T T T"
Mg 2.8136 -0.4141 0.0947
Ga -2.0215 4.8990 1.6492
Mg -1.0505 2.6443 0.0253
Ga 5.1945 -0.8123 1.7788
Ga 1.1918 1.5441 1.6871
Os 0.0000 0.0000 0.0000
Pd 0.5524 4.1486 1.7268
Mg 2.7808 3.5177 0.1893
Pd 3.8720 1.5212 1.7864
```


The following is a PBE calculation of a geometry-optimized CdSi structure, from Alexandria via LeMat-Bulk.

Output
energy = -2.592 eV per atom
total moment = 0.00 Bohr magnetons per cell

```
4
Lattice="4.1706 0.0000 0.0000 -2.0853 3.6119 0.0000 0.0000 0.0000 5.8109" Properties=species:S:1:pos:R:3 pbc="T T T"
Cd 0.0000 0.0000 0.0000
Cd 0.0000 0.0000 2.9054
Si 0.0000 2.4079 1.4527
Si 2.0853 1.2040 4.3581
```


The following is a PBE calculation of a geometry-optimized CsNa2Be6B5O15 structure, from Alexandria via LeMat-Bulk.

Output
energy = -7.138 eV per atom
total moment = 0.00 Bohr magnetons per cell

```
29
Lattice="-6.5153 2.4632 -2.2925 -6.4610 -1.9592 -2.8615 -6.2818 -1.2204 8.8864" Properties=species:S:1:pos:R:3 pbc="T T T"
O -16.1447 0.1251 4.3972
Be -8.9068 -2.2102 0.3496
Be -10.3017 -2.5506 2.8624
Be -9.0679 -0.4900 4.4179
O -7.3688 -0.8590 6.7860
O -9.6214 0.1784 5.8159
O -9.6620 -2.0422 4.3154
B -6.7147 -0.6770 5.5945
Cs -6.4890 0.3216 -2.5680
O -3.1348 0.9070 -0.4399
O -7.4440 -0.5041 4.3795
O -9.6619 1.1603 -1.8192
B -9.6316 -0.1472 1.8933
O -9.5630 -1.3662 -0.9294
Be -8.9425 -0.8303 6.9669
O -9.6772 0.6986 0.8059
Na -13.9533 -0.0954 0.6522
O -9.6149 -1.5130 1.7176
O -5.3549 -0.6486 5.4794
Be -10.1947 0.1467 -0.6376
O -11.8177 0.0841 -0.6090
B -12.5464 0.2068 -1.8304
Be -10.3197 0.4596 -3.1901
Na -5.3086 -0.3069 3.1206
B -3.1277 0.0640 0.6475
O -11.8917 0.3481 -3.0272
B -16.1348 -0.4152 3.1318
O -13.9061 0.1723 -1.7161
O -9.6031 0.3967 3.1596
```


The following is a PBE calculation of a geometry-optimized Rb2BaCd2S4 structure, from Alexandria via LeMat-Bulk.

Output
energy = -3.604 eV per atom
total moment = 0.00 Bohr magnetons per cell

```
9
Lattice="-3.8712 -0.4140 -1.9812 -1.0309 -7.4980 3.5812 -1.1553 6.5429 5.7065" Properties=species:S:1:pos:R:3 pbc="T T T"
Rb -1.3172 -2.6151 3.1204
Rb -4.7403 1.2460 4.1862
Cd -4.0008 -5.3266 4.1147
S -4.5736 -2.7883 4.7034
S -2.8493 -5.5542 1.9122
S -3.2082 4.1851 5.3943
Cd -2.0567 3.9574 3.1918
S -1.4839 1.4192 2.6031
Ba 0.0000 0.0000 0.0000
```


The following is a PBE calculation of a geometry-optimized Te3Br structure, from Alexandria via LeMat-Bulk.

Output
total moment = 0.00 Bohr magnetons per cell
offset from the most stable computed form = 6.773 kcal/mol of atoms

```
4
Lattice="-2.9698 -2.3216 0.9402 -0.3278 -1.2202 -4.0484 4.8105 -5.6249 1.3059" Properties=species:S:1:pos:R:3 pbc="T T T"
Br 0.0000 0.0000 0.0000
Te -0.1648 -3.5061 -1.1513
Te 2.4053 -2.8124 0.6530
Te 1.6778 -5.6606 -0.6510
```